(1)
A plane-wave DFT calculation with PBE was carried out for an optimized crystal structure of GaCuRh.

abc: 9.8747 9.8747 9.8747
angles: 162.44 162.44 24.93
With the nearest neighbours (Å) after each atom.
Element x y z (fractional)
Ga 0.1360 0.1360 0.0000  4 Rh 2.51, 4 Cu 2.62
Ga 0.8640 0.8640 0.0000  4 Rh 2.51, 4 Cu 2.62
Cu 0.2852 0.2852 0.0000  4 Cu 2.53, 4 Ga 2.62
Cu 0.7148 0.7148 0.0000  4 Cu 2.53, 4 Ga 2.62
Rh 0.4328 0.4328 0.0000  4 Ga 2.51, 1 Rh 2.59
Rh 0.5672 0.5672 0.0000  4 Ga 2.51, 1 Rh 2.59

## Properties
SG = I4/mmm
Formation enthalpy at 0 K = -0.3 eV/f.u.
Final energy = -29.57 eV for the cell shown


(2)
A plane-wave DFT calculation with PBE was carried out for an optimized crystal structure of ZnCdTeP.

abc: 4.2434 4.2434 7.6390
angles: 90.05 90.05 48.92
With the nearest neighbours (Å) after each atom.
Element x y z (fractional)
Zn 0.0000 0.0000 0.0000  3 P 2.39-2.40
Cd 0.6994 0.6994 0.5986  1 P 2.50
Te 0.9900 0.9900 0.3733  3 Cd 2.83-2.94, 1 Zn 2.85
P 0.6994 0.6994 0.9261  3 Zn 2.39-2.40, 1 Cd 2.50

## Properties
SG = Cm
Formation energy from raw total energies = -99 meV per atom
Final energy = -11.14 eV for the cell shown


(3)
A plane-wave DFT calculation with PBE was carried out for an optimized crystal structure of Pu2SiGe.

abc: 5.3383 5.8422 5.8422
angles: 28.01 90.00 90.00
With the nearest neighbours (Å) after each atom.
Element x y z (fractional)
Pu 0.0000 0.0000 0.0000  2 Pu 2.83, 3 Si 2.98-3.04, 4 Ge 3.02
Pu 0.5000 0.2385 0.2385  2 Pu 2.83, 3 Ge 2.96-3.06, 4 Si 3.02
Si 0.0000 0.7374 0.7374  2 Si 2.83, 7 Pu 2.98-3.04
Ge 0.5000 0.4997 0.4997  2 Ge 2.83, 7 Pu 2.96-3.06

## Properties
SG = Amm2
Formation energy from raw total energies = -326 meV per atom
Final energy = -40.01 eV for the cell shown


(4)
A plane-wave DFT calculation with PBE was carried out for an optimized crystal structure of Hf4B2O.

abc: 7.2438 7.2438 7.2438
angles: 147.59 147.59 46.50
With the nearest neighbours (Å) after each atom.
Element x y z (fractional)
Hf 0.0000 0.5000 0.5000  2 O 2.02
Hf 0.1847 0.1847 0.0000  1 B 2.45, 1 O 2.46
Hf 0.5000 0.0000 0.5000  2 O 2.02
Hf 0.8153 0.8153 0.0000  1 B 2.45, 1 O 2.46
B 0.3684 0.3684 0.0000  5 Hf 2.45-2.67
B 0.6316 0.6316 0.0000  5 Hf 2.45-2.67
O 0.0000 0.0000 0.0000  4 Hf 2.02

## Properties
SG = I4/mmm
Formation energy from raw total energies = -499 meV per atom
Final energy = -61.62 eV for the cell shown


(5)
A plane-wave DFT calculation with PBE was carried out for an optimized crystal structure of Tl3BiMo.

abc: 5.9944 5.9944 5.9944
angles: 90.00 90.00 90.00
With the nearest neighbours (Å) after each atom.
Element x y z (fractional)
Tl 0.0000 0.0000 0.5000  2 Bi 3.00
Tl 0.0000 0.5000 0.0000  2 Bi 3.00
Tl 0.5000 0.0000 0.0000  2 Bi 3.00
Bi 0.0000 0.0000 0.0000  6 Tl 3.00
Mo 0.5000 0.5000 0.5000  12 Tl 4.24

## Properties
SG = Pm-3m
Formation enthalpy at 0 K = 6.7 eV/f.u.
Final energy = -15.14 eV for the cell shown


(6)
A plane-wave DFT calculation with PBE was carried out for an optimized crystal structure of BaSc2Br.

abc: 10.5742 10.5742 10.5742
angles: 20.00 20.00 20.00
With the nearest neighbours (Å) after each atom.
Element x y z (fractional)
Ba 0.0000 0.0000 0.0000  3 Br 3.50, 6 Ba 3.67, 3 Sc 3.85
Sc 0.2298 0.2298 0.2298  3 Sc 3.19
Sc 0.4866 0.4866 0.4866  3 Br 2.90, 3 Sc 3.19
Br 0.7564 0.7564 0.7564  3 Sc 2.90

## Properties
SG = R3m
Formation energy from raw total energies = -391 meV per atom
Final energy = -17.82 eV for the cell shown


(7)
A plane-wave DFT calculation with PBE was carried out for an optimized crystal structure of Tb2Nd7Ho3.

abc: 6.4767 3.5694 17.6242
angles: 90.00 95.86 90.00
With the nearest neighbours (Å) after each atom.
Element x y z (fractional)
Tb 0.0594 0.0000 0.1701  5 Nd 3.37-3.55, 2 Tb 3.57, 4 Ho 3.63-3.77
Tb 0.9406 0.0000 0.8299  5 Nd 3.37-3.55, 2 Tb 3.57, 4 Ho 3.63-3.77
Nd 0.0000 0.5000 0.5000  8 Nd 3.57-3.68, 4 Ho 3.70
Nd 0.2252 0.0000 0.6718  1 Tb 3.49, 8 Nd 3.57-3.70, 3 Ho 3.66-3.67
Nd 0.2575 0.0000 0.9941  2 Nd 3.13-3.36, 2 Tb 3.37-3.48
Nd 0.2767 0.5000 0.3332  2 Tb 3.55, 7 Nd 3.57-3.70, 3 Ho 3.61-3.67
Nd 0.7233 0.5000 0.6668  2 Tb 3.55, 7 Nd 3.57-3.70, 3 Ho 3.61-3.67
Nd 0.7425 0.0000 0.0059  2 Nd 3.13-3.36, 2 Tb 3.37-3.48
Nd 0.7748 0.0000 0.3282  1 Tb 3.49, 8 Nd 3.57-3.70, 3 Ho 3.66-3.67
Ho 0.4558 0.5000 0.8407  2 Ho 3.57, 7 Nd 3.59-3.74, 4 Tb 3.63-3.77
Ho 0.5000 0.0000 0.5000  2 Ho 3.57, 10 Nd 3.61-3.70
Ho 0.5442 0.5000 0.1593  2 Ho 3.57, 7 Nd 3.59-3.74, 4 Tb 3.63-3.77

## Properties
SG = P2/m
Formation enthalpy at 0 K = 0.8 eV/f.u.
Final energy = -55.54 eV for the cell shown


(8)
A plane-wave DFT calculation with PBE was carried out for an optimized crystal structure of NaPaRhSe3.

abc: 8.1016 4.0301 9.5554
angles: 90.00 107.62 90.00
With the nearest neighbours (Å) after each atom.
Element x y z (fractional)
Na 0.2195 0.2500 0.2697  6 Se 3.06-3.12
Na 0.7805 0.7500 0.7303  6 Se 3.06-3.12
Pa 0.3023 0.7500 0.8174  6 Se 2.73-2.94, 2 Rh 3.03
Pa 0.6977 0.2500 0.1826  6 Se 2.73-2.94, 2 Rh 3.03
Rh 0.1039 0.2500 0.5916  4 Se 2.53-2.73
Rh 0.8961 0.7500 0.4084  4 Se 2.53-2.73
Se 0.0734 0.2500 0.8507  1 Rh 2.56, 2 Pa 2.82
Se 0.2491 0.7500 0.5211  3 Rh 2.53-2.73, 1 Pa 2.73
Se 0.4281 0.7500 0.1404  3 Pa 2.91-2.94, 2 Na 3.12
Se 0.5719 0.2500 0.8596  3 Pa 2.91-2.94, 2 Na 3.12
Se 0.7509 0.2500 0.4789  3 Rh 2.53-2.73, 1 Pa 2.73
Se 0.9266 0.7500 0.1493  1 Rh 2.56, 2 Pa 2.82

## Properties
SG = P2_1/m
Formation energy from raw total energies = -1050 meV per atom
Final energy = -69.84 eV for the cell shown


(9)
A plane-wave DFT calculation with PBE was carried out for an optimized crystal structure of BaSc2P.

abc: 3.4727 3.4727 9.2387
angles: 90.00 90.00 102.97
With the nearest neighbours (Å) after each atom.
Element x y z (fractional)
Ba 0.0000 0.0000 0.0000  4 Ba 3.47, 4 Sc 3.79
Sc 0.5000 0.5000 0.3374  2 P 2.63
Sc 0.5000 0.5000 0.6626  2 P 2.63
P 0.0000 0.0000 0.5000  4 Sc 2.63

## Properties
SG = Cmmm
Formation enthalpy at 0 K = -1.5 eV/f.u.
Final energy = -21.45 eV for the cell shown


(10)
A plane-wave DFT calculation with PBE was carried out for an optimized crystal structure of LiMg2Tc.

abc: 4.8480 4.8480 5.5024
angles: 94.73 94.73 32.24
With the nearest neighbours (Å) after each atom.
Element x y z (fractional)
Li 0.0000 0.0000 0.0000  2 Li 2.69, 6 Mg 2.82-2.99
Mg 0.2462 0.2462 0.7363  4 Mg 2.69-2.93, 3 Tc 2.79-2.87, 3 Li 2.82-2.99
Mg 0.7538 0.7538 0.2637  4 Mg 2.69-2.93, 3 Tc 2.79-2.87, 3 Li 2.82-2.99
Tc 0.5000 0.5000 0.5000  2 Tc 2.69, 6 Mg 2.79-2.87

## Properties
SG = C2/m
Formation enthalpy at 0 K = 1.0 eV/f.u.
Final energy = -14.47 eV for the cell shown


(11)
A plane-wave DFT calculation with PBE was carried out for an optimized crystal structure of FeRh2W.

abc: 4.3115 4.3115 4.3115
angles: 60.00 60.00 60.00
With the nearest neighbours (Å) after each atom.
Element x y z (fractional)
Fe 0.0000 0.0000 0.0000  4 W 2.64, 4 Rh 2.64
Rh 0.2500 0.2500 0.2500  4 Fe 2.64, 4 Rh 2.64
Rh 0.5000 0.5000 0.5000  4 W 2.64, 4 Rh 2.64
W 0.7500 0.7500 0.7500  4 Fe 2.64, 4 Rh 2.64

## Properties
SG = F-43m
Formation enthalpy at 0 K = 0.6 eV/f.u.
Final energy = -35.54 eV for the cell shown


(12)
A plane-wave DFT calculation with PBE was carried out for an optimized crystal structure of Na3H2.

abc: 6.8727 6.8727 6.8727
angles: 51.43 51.43 51.43
With the nearest neighbours (Å) after each atom.
Element x y z (fractional)
Na 0.0702 0.7500 0.4298  4 H 2.45-2.49
Na 0.2500 0.5702 0.9298  4 H 2.45-2.49
Na 0.4298 0.0702 0.7500  4 H 2.45-2.49
Na 0.5702 0.9298 0.2500  4 H 2.45-2.49
Na 0.7500 0.4298 0.0702  4 H 2.45-2.49
Na 0.9298 0.2500 0.5702  4 H 2.45-2.49
H 0.1641 0.1641 0.1641  6 Na 2.45-2.49
H 0.3359 0.3359 0.3359  6 Na 2.45-2.49
H 0.6641 0.6641 0.6641  6 Na 2.45-2.49
H 0.8359 0.8359 0.8359  6 Na 2.45-2.49

## Properties
SG = R-3c
Final energy = -21.21 eV for the cell shown


final energy of number 5 (Tl3BiMo)? -15.14 eV for the cell shown